[1]
An optimized crystal structure of P3ClO. Source: Alexandria via LeMat-Bulk, functional PBE.

Cell lengths 4.3033, 4.3033, 4.3033 Å; angles 90.00, 90.00, 90.00 degrees
Closest atoms and distances in Å follow each position.
Space group Pm-3m (No. 221)
One atom of each set of equivalent atoms:
P  0.0000  0.0000  0.5000 (multiplicity 3)  2 O 2.15
Cl  0.5000  0.5000  0.5000 (multiplicity 1)  12 P 3.04
O  0.0000  0.0000  0.0000 (multiplicity 1)  6 P 2.15

Summary:
Crystal system = cubic
ΔE_f (raw) = 979 meV/atom



[2]
An optimized crystal structure of LaMgBe. Source: Alexandria via LeMat-Bulk, functional PBE.

Cell lengths 3.2131, 4.6352, 9.2243 Å; angles 90.00, 90.00, 90.00 degrees
Closest atoms and distances in Å follow each position.
Space group Imm2 (No. 44)
One atom of each set of equivalent atoms:
La  0.0000  0.0000  0.0000 (multiplicity 2)  5 Mg 2.99-3.25, 5 Be 3.14-3.18, 2 La 3.21
Mg  0.0000  0.0000  0.6759 (multiplicity 2)  5 La 2.99-3.25, 5 Be 3.09-3.20, 2 Mg 3.21
Be  0.0000  0.0000  0.3407 (multiplicity 2)  5 Mg 3.09-3.20, 5 La 3.14-3.18, 2 Be 3.21

Summary:
ΔE_f = 0.379 eV per atom
Crystal system = orthorhombic



[3]
An optimized crystal structure of Si3Se. Source: Alexandria via LeMat-Bulk, functional PBE.

Cell lengths 9.0950, 9.0950, 2.7772 Å; angles 90.00, 90.00, 120.00 degrees
Closest atoms and distances in Å follow each position.
Space group R-3m (No. 166, hexagonal axes)
One atom of each set of equivalent atoms:
Si  0.0000  0.5000  0.0000 (multiplicity 9)  6 Si 2.78, 2 Se 2.78
Se  0.0000  0.0000  0.0000 (multiplicity 3)  2 Se 2.78, 6 Si 2.78

Summary:
Crystal system = trigonal
ΔE_f (raw) = 575 meV/atom



[4]
An optimized crystal structure of Fe21P6W2. Source: Alexandria via LeMat-Bulk, functional PBE.

Cell lengths 11.0538, 11.0538, 11.0538 Å; angles 90.00, 90.00, 90.00 degrees
Closest atoms and distances in Å follow each position.
Space group Fm-3m (No. 225)
One atom of each set of equivalent atoms:
Fe  0.0000  0.0000  0.0000 (multiplicity 4)  12 Fe 2.70
Fe  0.0000  0.1725  0.1725 (multiplicity 48)  2 P 2.24, 1 Fe 2.42
Fe  0.1236  0.1236  0.3764 (multiplicity 32)  3 P 2.22, 1 W 2.42
P  0.0000  0.0000  0.2781 (multiplicity 24)  8 Fe 2.22-2.24
W  0.2500  0.2500  0.2500 (multiplicity 8)  4 Fe 2.42

Summary:
ΔE_f = -0.287 eV per atom
Crystal system = cubic



[5]
An optimized crystal structure of MgPaAl2Pt2. Source: Alexandria via LeMat-Bulk, functional PBE.

Cell lengths 4.3997, 4.3997, 6.5740 Å; angles 90.00, 90.00, 120.00 degrees
Closest atoms and distances in Å follow each position.
Space group P-3m1 (No. 164)
One atom of each set of equivalent atoms:
Mg  0.0000  0.0000  0.0000 (multiplicity 1)  6 Al 2.83, 6 Pt 2.99
Pa  0.0000  0.0000  0.5000 (multiplicity 1)  6 Pt 3.07, 6 Al 3.26, 2 Mg 3.29
Al  0.3333  0.6667  0.1898 (multiplicity 2)  4 Pt 2.56-2.82, 3 Mg 2.83
Pt  0.3333  0.6667  0.7610 (multiplicity 2)  4 Al 2.56-2.82

Summary:
ΔE_f = -0.833 eV per atom
Crystal system = trigonal



[6]
An optimized crystal structure of RbUSnBr6. Source: Alexandria via LeMat-Bulk, functional PBE.

Cell lengths 10.4763, 10.9067, 15.3625 Å; angles 90.00, 90.00, 90.00 degrees
Closest atoms and distances in Å follow each position.
Space group Imma (No. 74)
One atom of each set of equivalent atoms:
Rb  0.0000  0.2500  0.0558 (multiplicity 4)  1 Br 3.36
U  0.0000  0.0000  0.5000 (multiplicity 4)  6 Br 2.89-2.92
Sn  0.2500  0.2500  0.7500 (multiplicity 4)  6 Br 2.94-3.03
Br  0.0000  0.2500  0.4321 (multiplicity 4)  2 U 2.92
Br  0.0000  0.2500  0.8371 (multiplicity 4)  2 Sn 2.94
Br  0.2055  0.0430  0.6222 (multiplicity 16)  1 U 2.89, 1 Sn 3.03

Summary:
Crystal system = orthorhombic
ΔE_f (raw) = -1153 meV/atom